! PBE+U VInSeF2, relaxed; values from VASP
&SYSTEM
  ibrav = 0, nat = 5, ntyp = 4
/
ATOMIC_SPECIES
In 114.82 In.upf
F 19.00 F.upf
Se 78.96 Se.upf
V 50.94 V.upf
ATOMIC_POSITIONS crystal
In 0.500 0.500 0.500
F 0.500 0.000 0.000
Se 0.000 0.000 0.500
V 0.000 0.000 0.000
F 0.000 0.500 0.000
CELL_PARAMETERS angstrom
4.131 0.000 0.000
0.000 4.131 0.000
0.000 0.000 5.480
! * spin magnetization: 0.555 μB per atom
! * symmetry: No. 123
! * electronic total energy: -5.118 eV per atom